Material: Sm4Te2PN
Method: DFT, PBE
State: relaxed

Geometry as POSCAR:
```
Sm4Te2PN
1.0
6.9996 0.0000 0.0000
0.0000 4.0389 0.0000
-2.3318 0.0000 7.1564
Sm Te P N
4 2 1 1
direct
0.2147 0.0000 0.1947
0.2430 0.5000 0.8004
0.7570 0.5000 0.1996
0.7853 0.0000 0.8053
0.0000 0.0000 0.5000
0.5000 0.5000 0.5000
0.5000 0.0000 0.0000
0.0000 0.5000 0.0000
```

Output
**Volume**: 202 Å³ per cell
**Formation energy (no corrections)**: -1.42 eV/atom
**Total DFT energy (no corrections)**: -50.28 eV per cell